Here is crystalline RbNaHg2As at its relaxed geometry from Alexandria via LeMat-Bulk. Energies are from PBE.

Output
* space-group type: Imm2 (44)
* energy above the most stable polymorph in this dataset: 0 meV per atom
* formation energy: -0.288 eV per atom
* E_tot: -1.80 eV/atom

Geometry as extended XYZ:
```
5
Lattice="-0.535 1.285 4.872 -3.470 -3.247 0.476 6.226 -3.298 -1.081" Properties=species:S:1:pos:R:3 pbc="T T T"
Rb 3.690 -3.739 1.391
Na 0.034 -3.416 0.905
Hg 1.390 -1.037 3.061
Hg 0.385 -0.390 0.145
As 0.734 -3.754 3.705
```